Material: NaPbAuSe3
Method: DFT, PBE
State: optimized geometry

```
data_NaPbAuSe3
_symmetry_space_group_name_H-M 'P 1'
_symmetry_Int_Tables_number 1
_cell_length_a 6.615
_cell_length_b 6.615
_cell_length_c 11.703
_cell_angle_alpha 90.00
_cell_angle_beta 90.00
_cell_angle_gamma 36.62
loop_
_symmetry_equiv_pos_as_xyz
'x,y,z'
loop_
_atom_site_label
_atom_site_fract_x
_atom_site_fract_y
_atom_site_fract_z
Au1 0.449 0.449 0.750
Au2 0.551 0.551 0.250
Se1 0.665 0.665 0.440
Se2 0.926 0.926 0.250
Se3 0.335 0.335 0.560
Se4 0.665 0.665 0.060
Se5 0.335 0.335 0.940
Se6 0.074 0.074 0.750
Pb1 0.000 0.000 0.000
Pb2 0.000 0.000 0.500
Na1 0.247 0.247 0.250
Na2 0.753 0.753 0.750
```

E_tot, Ha/atom: -0.1264
Symmetry: Cmcm (63)
Theoretical density, g/cm3: 7.22
Volume, Å³ per atom: 25.461